Below is crystalline In2TcRh2 at its relaxed geometry, with properties calculated at the GGA-PBE level.

Cell lengths 7.4619, 7.4619, 3.1704 Å; angles 90.00, 90.00, 90.00 degrees
With the nearest neighbours (Å) after each atom.
Positions (direct):
In  0.1642  0.3358  0.0000  6 Rh 2.65-2.75
In  0.3358  0.8358  0.0000  6 Rh 2.65-2.75
In  0.6642  0.1642  0.0000  6 Rh 2.65-2.75
In  0.8358  0.6642  0.0000  6 Rh 2.65-2.75
Tc  0.0000  0.0000  0.5000  4 Rh 2.90, 2 Tc 3.17, 8 In 3.21
Tc  0.5000  0.5000  0.5000  4 Rh 2.90, 2 Tc 3.17, 8 In 3.21
Rh  0.1351  0.6351  0.5000  6 In 2.65-2.75, 1 Rh 2.85, 2 Tc 2.90
Rh  0.3649  0.1351  0.5000  6 In 2.65-2.75, 1 Rh 2.85, 2 Tc 2.90
Rh  0.6351  0.8649  0.5000  6 In 2.65-2.75, 1 Rh 2.85, 2 Tc 2.90
Rh  0.8649  0.3649  0.5000  6 In 2.65-2.75, 1 Rh 2.85, 2 Tc 2.90

Mass density = 10036 kg/m3
E_tot = -5.977 eV per atom